Computed, not measured: BeAl2Ru after structural relaxation at the PBE level of DFT.

Cell: 3.109 3.109 5.369 Å, 90.00 90.00 90.00°
Positions (direct):
Al  0.000  0.000  0.499
Al  0.000  0.000  0.001
Ru  0.500  0.500  0.750
Be  0.500  0.500  0.250

Computed properties:
Final energy: -5.51 eV per atom
Calculated formation energy: -0.39 eV per atom
D(E_F): 0.368 states/eV/atom
Theoretical density: 5249 kg/m3